Compound: LiRuS
Source: the Alexandria database
Functional: GGA-PBE
Structure: relaxed

Its total energy is -5.39 eV per atom. The value obtained for the density of states at the Fermi level is 0.850 states/eV/atom. For the magnetic moment, the calculation gives 0.00 Bohr magnetons per cell. Its formation energy without anion corrections is -0.2836 eV/atom.

The space group is C2/m (No. 12) and the conventional cell measures 6.687, 3.866 and 7.512 Å, with angles of 90.00, 107.15 and 90.00 degrees. The inequivalent atoms are Li at (0.203, 0.000, 0.109), Ru at (0.057, 0.000, 0.671) and S at (0.085, 0.500, 0.255).